No. 1
VASP calculation (PBE) on LiGdAlCu after structural relaxation. Values from VASP.

Structure (Quantum ESPRESSO input):
```
&SYSTEM
  ibrav = 0, nat = 4, ntyp = 4
/
ATOMIC_SPECIES
Gd 157.25 Gd.upf
Al 26.98 Al.upf
Cu 63.55 Cu.upf
Li 6.94 Li.upf
ATOMIC_POSITIONS angstrom
Gd 0.000 0.000 0.000
Al -4.203 2.745 -2.670
Cu -2.101 1.373 -1.335
Li -6.304 4.118 -4.006
CELL_PARAMETERS angstrom
-1.367 4.093 -1.713
-2.571 0.158 -3.863
-4.468 1.239 0.234
```

## Properties
formation energy from the elements	-116	kJ/mol of formula units
SG	F-43m, No. 216
total DFT energy (no corrections)	-6.260	eV per atom

---

No. 2
VASP calculation (PBE) on GdMgAlCu after structural relaxation. Values from VASP.

Structure (Quantum ESPRESSO input):
```
&SYSTEM
  ibrav = 0, nat = 4, ntyp = 4
/
ATOMIC_SPECIES
Mg 24.30 Mg.upf
Gd 157.25 Gd.upf
Al 26.98 Al.upf
Cu 63.55 Cu.upf
ATOMIC_POSITIONS angstrom
Mg 0.000 0.000 0.000
Gd -2.183 -0.723 5.457
Al -3.275 -1.085 8.186
Cu -1.092 -0.362 2.729
CELL_PARAMETERS angstrom
-2.295 2.180 3.655
-3.162 -2.478 2.691
1.091 -1.148 4.568
```

## Properties
formation energy from the elements	-91	kJ/mol of formula units
SG	F-43m, No. 216
total DFT energy (no corrections)	-6.114	eV per atom

---

No. 3
VASP calculation (PBE) on NdGdAlCu after structural relaxation. Values from VASP.

Structure (Quantum ESPRESSO input):
```
&SYSTEM
  ibrav = 0, nat = 4, ntyp = 4
/
ATOMIC_SPECIES
Gd 157.25 Gd.upf
Nd 144.24 Nd.upf
Al 26.98 Al.upf
Cu 63.55 Cu.upf
ATOMIC_POSITIONS angstrom
Gd 0.000 0.000 0.000
Nd -3.693 -4.315 -2.752
Al -5.540 -6.473 -4.128
Cu -1.847 -2.158 -1.376
CELL_PARAMETERS angstrom
-2.385 -1.325 -4.372
-0.412 -4.968 -1.307
-4.589 -2.338 0.175
```

## Properties
formation energy from the elements	-92	kJ/mol of formula units
SG	F-43m, No. 216
total DFT energy (no corrections)	-6.910	eV per atom